{"formula": "TbCeO", "functional": "PBE", "state": "relaxed", "lattice_angstrom": [[-2.953, -0.455, 1.197], [1.279, -0.878, 2.820], [0.690, 6.940, 0.012]], "species": ["O", "Ce", "Tb"], "frac_coords": [[0.787, 0.787, 0.574], [0.969, 0.969, 0.937], [0.244, 0.244, 0.488]], "total_energy_ev_per_atom": -6.80, "formation_energy_uncorrected_ev_per_atom": -1.625, "de_polymorph_mev_per_atom": 87, "m_tot_mub_per_fu": 0.7}